(1)
The following is a GGA-PBE calculation of a relaxed ZrAsIrSe2 crystal, from Alexandria via LeMat-Bulk.

## Properties
space-group type: P4/mmm (123)
D(E_F): 4.108 states/eV/cell
energy above the lowest structure with this stoichiometry: 0.0 meV per atom
raw formation energy: 0.312 eV per atom
size of the total moment: 0.00 μB/f.u.
V: 113.9 Å³ per cell

Lattice parameters (Å, degrees): 4.9400 4.9400 4.6692 90.00 90.00 90.00
Positions (direct):
1 As 0.0000 0.0000 0.5000
2 Ir 0.0000 0.0000 0.0000
3 Se 0.0000 0.5000 0.0000
4 Se 0.5000 0.0000 0.0000
5 Zr 0.5000 0.5000 0.5000

=====

(2)
The following is a GGA-PBE calculation of a relaxed Te2RhW crystal, from Alexandria via LeMat-Bulk.

## Properties
space-group type: P4/mmm (123)
D(E_F): 3.955 states/eV/cell
energy above the lowest structure with this stoichiometry: 319.5 meV per atom
raw formation energy: 0.451 eV per atom
size of the total moment: 0.00 μB/f.u.
V: 75.2 Å³ per cell

Lattice parameters (Å, degrees): 4.6956 4.6956 3.4112 90.00 90.00 90.00
Positions (direct):
1 Te 0.5000 0.0000 0.0000
2 Te 0.0000 0.5000 0.0000
3 Rh 0.0000 0.0000 0.5000
4 W 0.5000 0.5000 0.5000

=====

(3)
The following is a GGA-PBE calculation of a relaxed Cs2TcPd crystal, from Alexandria via LeMat-Bulk.

## Properties
space-group type: Fm-3m (225)
D(E_F): 5.514 states/eV/cell
DFT formation energy: 1.454 eV per atom
size of the total moment: 4.47 μB/f.u.
V: 144.0 Å³ per cell

Lattice parameters (Å, degrees): 5.8834 5.8834 5.8834 60.00 60.00 60.00
Each line ends with the local moment (μB).
Positions (direct):
1 Cs 0.2500 0.2500 0.2500  0.05
2 Cs 0.7500 0.7500 0.7500  0.05
3 Tc 0.0000 0.0000 0.0000  3.30
4 Pd 0.5000 0.5000 0.5000  0.19